PBE Mg2In5Bi5, relaxed; raw total energy = -3.029 eV per atom; density of states at the Fermi level = 4.6 states/eV/cell; calculated density = 7.532 g/cm3
1.0
3.731 -2.809 0.000
3.731 2.809 0.000
-2.106 0.000 17.541
Mg In Bi
2 5 5
direct
0.208 0.208 0.235 Mg
0.792 0.792 0.765 Mg
0.000 0.000 0.500 In
0.296 0.296 0.661 In
0.406 0.406 0.082 In
0.594 0.594 0.918 In
0.704 0.704 0.339 In
0.000 0.000 0.000 Bi
0.185 0.185 0.827 Bi
0.342 0.342 0.405 Bi
0.658 0.658 0.595 Bi
0.815 0.815 0.173 Bi